First-principles (GGA-PBE) data for crystalline Mo2OsRu2 at its relaxed geometry, as listed in Alexandria via LeMat-Bulk.

The space group is P4/mbm (No. 127) and the conventional cell measures 7.265, 7.265 and 2.888 Å, with angles of 90.00, 90.00 and 90.00 degrees. The distinct sites, in fractional coordinates, are Mo at (0.171, 0.329, 0.000), Os at (0.000, 0.000, 0.500) and Ru at (0.129, 0.629, 0.500).

The calculation puts the formation energy at 1.50 eV per formula unit. Its uncorrected energy is -49.94 eV per formula unit.

=====

First-principles (GGA-PBE) data for crystalline Mo2OsRu at its relaxed geometry, as listed in Alexandria via LeMat-Bulk.

The space group is P4mm (No. 99) and the conventional cell measures 3.209, 3.209 and 5.967 Å, with angles of 90.00, 90.00 and 90.00 degrees. The distinct sites, in fractional coordinates, are Mo at (0.000, 0.000, 0.000), Mo at (0.500, 0.500, 0.283), Os at (0.000, 0.000, 0.503) and Ru at (0.500, 0.500, 0.798).

The calculation puts the formation energy at 1.05 eV per formula unit. Its uncorrected energy is -41.12 eV per formula unit.

=====

First-principles (GGA-PBE) data for crystalline MoOsRu2 at its relaxed geometry, as listed in Alexandria via LeMat-Bulk.

The space group is R3m (No. 160, hexagonal axes) and the conventional cell measures 2.7347, 2.7347 and 26.9280 Å, with angles of 90.00, 90.00 and 120.00 degrees. The distinct sites, in fractional coordinates, are Mo at (0.0000, 0.0000, 0.0000), Os at (0.0000, 0.0000, 0.7525), Ru at (0.0000, 0.0000, 0.2494) and Ru at (0.0000, 0.0000, 0.5005).

The calculation puts the formation energy at 0.53 eV per formula unit. Its uncorrected energy is -40.08 eV per formula unit.

=====

First-principles (GGA-PBE) data for crystalline Mo2OsRu2 at its relaxed geometry, as listed in Alexandria via LeMat-Bulk.

The space group is P-1 (No. 2) and the conventional cell measures 4.765, 4.776 and 7.284 Å, with angles of 71.09, 71.43 and 80.63 degrees. The distinct sites, in fractional coordinates, are Mo at (0.054, 0.249, 0.143), Mo at (0.167, 0.743, 0.444), Os at (0.452, 0.245, 0.348), Ru at (0.252, 0.243, 0.749) and Ru at (0.355, 0.746, 0.050).

The calculation puts the formation energy at 0.47 eV per formula unit. Its uncorrected energy is -50.98 eV per formula unit.

=====

First-principles (GGA-PBE) data for crystalline MoOs2Ru at its relaxed geometry, as listed in Alexandria via LeMat-Bulk.

The space group is I-42d (No. 122) and the conventional cell measures 3.816, 3.816 and 17.700 Å, with angles of 90.00, 90.00 and 90.00 degrees. The distinct sites, in fractional coordinates, are Mo at (0.000, 0.000, 0.000), Os at (0.231, 0.250, 0.625) and Ru at (0.000, 0.000, 0.500).

The calculation puts the formation energy at 3.13 eV per formula unit. Its uncorrected energy is -39.43 eV per formula unit.

=====

First-principles (GGA-PBE) data for crystalline MoOs2Ru at its relaxed geometry, as listed in Alexandria via LeMat-Bulk.

The space group is R3m (No. 160, hexagonal axes) and the conventional cell measures 2.7390, 2.7390 and 27.0286 Å, with angles of 90.00, 90.00 and 120.00 degrees. The distinct sites, in fractional coordinates, are Mo at (0.0000, 0.0000, 0.0000), Os at (0.0000, 0.0000, 0.2479), Os at (0.0000, 0.0000, 0.4994) and Ru at (0.0000, 0.0000, 0.7508).

The calculation puts the formation energy at 0.55 eV per formula unit. Its uncorrected energy is -42.02 eV per formula unit.

=====

First-principles (GGA-PBE) data for crystalline MoOsRu2 at its relaxed geometry, as listed in Alexandria via LeMat-Bulk.

The space group is R3m (No. 160, hexagonal axes) and the conventional cell measures 4.2888, 4.2888 and 11.5559 Å, with angles of 90.00, 90.00 and 120.00 degrees. The distinct sites, in fractional coordinates, are Mo at (0.0000, 0.0000, 0.0000), Os at (0.0000, 0.0000, 0.7735), Ru at (0.0000, 0.0000, 0.3150) and Ru at (0.0000, 0.0000, 0.5380).

The calculation puts the formation energy at 1.72 eV per formula unit. Its uncorrected energy is -38.90 eV per formula unit.

=====

First-principles (GGA-PBE) data for crystalline MoOs2Ru3 at its relaxed geometry, as listed in Alexandria via LeMat-Bulk.

The space group is P2/m (No. 10) and the conventional cell measures 5.223, 2.620 and 6.821 Å, with angles of 90.00, 101.09 and 90.00 degrees. The distinct sites, in fractional coordinates, are Mo at (0.000, 0.000, 0.000), Os at (0.328, 0.500, 0.333), Ru at (0.167, 0.500, 0.671) and Ru at (0.500, 0.500, 0.000).

The calculation puts the formation energy at 3.82 eV per formula unit. Its uncorrected energy is -57.30 eV per formula unit.

=====

First-principles (GGA-PBE) data for crystalline MoOs2Ru at its relaxed geometry, as listed in Alexandria via LeMat-Bulk.

The space group is F-43m (No. 216) and the conventional cell measures 6.206, 6.206 and 6.206 Å, with angles of 90.00, 90.00 and 90.00 degrees. The distinct sites, in fractional coordinates, are Mo at (0.000, 0.000, 0.000), Os at (0.000, 0.000, 0.500), Os at (0.250, 0.250, 0.250) and Ru at (0.250, 0.250, 0.750).

The calculation puts the formation energy at 2.12 eV per formula unit. Its uncorrected energy is -40.45 eV per formula unit.

=====

First-principles (GGA-PBE) data for crystalline Mo2Os3Ru at its relaxed geometry, as listed in Alexandria via LeMat-Bulk.

The space group is P-1 (No. 2) and the conventional cell measures 4.810, 5.528 and 6.857 Å, with angles of 78.33, 83.02 and 89.97 degrees. The distinct sites, in fractional coordinates, are Mo at (0.137, 0.208, 0.166), Mo at (0.137, 0.709, 0.162), Os at (0.259, 0.872, 0.511), Os at (0.359, 0.541, 0.833), Os at (0.361, 0.043, 0.833) and Ru at (0.259, 0.373, 0.509).

The calculation puts the formation energy at 0.04 eV per formula unit. Its uncorrected energy is -64.59 eV per formula unit.

=====

First-principles (GGA-PBE) data for crystalline Sc2MoOsRu at its relaxed geometry, as listed in Alexandria via LeMat-Bulk.

The space group is P4/mmm (No. 123) and the conventional cell measures 4.908, 4.908 and 4.685 Å, with angles of 90.00, 90.00 and 90.00 degrees. The distinct sites, in fractional coordinates, are Sc at (0.000, 0.500, 0.000), Mo at (0.000, 0.000, 0.500), Os at (0.000, 0.000, 0.000) and Ru at (0.500, 0.500, 0.500).

The calculation puts the formation energy at 4.68 eV per formula unit. Its uncorrected energy is -39.32 eV per formula unit.

=====

First-principles (GGA-PBE) data for crystalline ScMoOsRu at its relaxed geometry, as listed in Alexandria via LeMat-Bulk.

The space group is F-43m (No. 216) and the conventional cell measures 6.306, 6.306 and 6.306 Å, with angles of 90.00, 90.00 and 90.00 degrees. The distinct sites, in fractional coordinates, are Sc at (0.000, 0.000, 0.000), Mo at (0.000, 0.000, 0.500), Os at (0.250, 0.250, 0.250) and Ru at (0.250, 0.250, 0.750).

The calculation puts the formation energy at -0.75 eV per formula unit. Its uncorrected energy is -38.42 eV per formula unit.